## Zn3NiRh (PBE)

Data for a relaxed structure of Zn3NiRh.

Geometry as POSCAR:
```
Zn3NiRh
1.0
4.177 0.000 0.000
0.000 4.178 0.000
-2.073 0.000 7.681
Zn Ni Rh
6 2 2
direct
0.054 0.250 0.108
0.250 0.250 0.499
0.443 0.250 0.888
0.557 0.750 0.112
0.750 0.750 0.501
0.946 0.750 0.892
0.348 0.750 0.697
0.652 0.250 0.303
0.151 0.750 0.302
0.849 0.250 0.698
```

Summary:
For the density of states at the Fermi level, the calculation gives 1.47 states/eV/f.u. The magnetic moment is 0.000 μB per formula unit. The calculation puts the density at 8.87 Mg/m³. As for the polymorph energy (0 for the lowest one): 0 meV per atom. For the formation energy, the calculation gives -0.28 eV/atom. Its total energy is -18.3 eV/f.u.